# PBE-GGA Ni3HgN, optimized geometry
data_Ni3HgN
_symmetry_space_group_name_H-M 'P 1'
_symmetry_Int_Tables_number 1
_symmetry_space_group_name_Hall 'P 1'
_cell_length_a 2.7508
_cell_length_b 7.1099
_cell_length_c 7.1099
_cell_angle_alpha 39.21
_cell_angle_beta 90.00
_cell_angle_gamma 90.00
loop_
_atom_site_label
_atom_site_fract_x
_atom_site_fract_y
_atom_site_fract_z
_atom_site_occupancy
Ni1 0.0000 0.0000 0.0000 1
Ni2 0.5000 0.1071 0.6003 1
Ni3 0.5000 0.6003 0.1071 1
Hg1 0.5000 0.1690 0.1690 1
N1 0.0000 0.8680 0.8680 1
# - mass density (g/cm³) = 7.380
# - E_form (uncorrected) (eV per atom) = 0.389
# - final energy (eV per atom) = -4.8052